This record from the Alexandria database describes a relaxed structure of BeHg4Mo. The functional is PBE.

Results
V: 22.2 Å³/atom
Final energy: -1.5574 eV per atom
Formation enthalpy at 0 K: 619 kJ/mol of formula units

Geometry as POSCAR:
```
BeHg4Mo
1.0
-2.285 -0.753 5.200
-5.656 0.528 0.748
-3.191 -4.633 1.083
Be Hg Mo
1 4 1
Direct
0.000 0.000 0.000
0.875 0.375 0.375
0.375 0.375 0.875
0.375 0.875 0.375
0.375 0.375 0.375
0.750 0.750 0.750
```

This record from the Alexandria database describes a relaxed structure of Co2BPRh. The functional is PBE.

Results
V: 11.5 Å³/atom
Final energy: -6.3966 eV per atom
Formation enthalpy at 0 K: 161 kJ/mol of formula units

Geometry as POSCAR:
```
Co2BPRh
1.0
-3.581 -0.954 -0.637
1.052 -1.542 -3.601
0.604 -3.345 1.609
Co B Rh P
2 1 1 1
Direct
0.000 0.000 0.500
0.500 0.000 0.000
0.000 0.000 0.000
0.500 0.500 0.500
0.000 0.500 0.000
```

This record from the Alexandria database describes a relaxed structure of BiP2PtO. The functional is PBE.

Results
V: 18.7 Å³/atom
Uncorrected formation energy: 233 meV/atom
Final energy: -4.9067 eV per atom
Distance to the lowest polymorph of the same formula: 0 meV per atom

Geometry as POSCAR:
```
BiP2PtO
1.0
4.934 0.000 0.000
0.000 4.934 0.000
0.000 0.000 3.847
O P Bi Pt
1 2 1 1
Direct
0.000 0.000 0.500
0.000 0.500 0.000
0.500 0.000 0.000
0.500 0.500 0.500
0.000 0.000 0.000
```

This record from the Alexandria database describes a relaxed structure of K3ZrPd. The functional is PBE.

Results
V: 54.2 Å³/atom
Final energy: -1.9691 eV per atom
Distance to the lowest polymorph of the same formula: 476 meV per atom
Formation enthalpy at 0 K: 694 kJ/mol of formula units

Geometry as POSCAR:
```
K3ZrPd
1.0
6.473 0.000 0.000
0.000 6.473 0.000
0.000 0.000 6.473
K Zr Pd
3 1 1
Direct
0.000 0.500 0.000
0.000 0.000 0.500
0.500 0.000 0.000
0.000 0.000 0.000
0.500 0.500 0.500
```

This record from the Alexandria database describes a relaxed structure of Tb2Ce3PuP6. The functional is PBE.

Results
V: 23.5 Å³/atom
Final energy: -7.6338 eV per atom
Formation enthalpy at 0 K: -1713 kJ/mol of formula units

Geometry as POSCAR:
```
Tb2Ce3PuP6
1.0
-3.316 3.723 4.946
5.742 -3.694 1.644
2.966 5.230 -3.610
Tb Ce Pu P
2 3 1 6
Direct
0.334 0.666 0.000
0.666 0.334 0.000
0.167 0.833 0.500
0.833 0.167 0.500
0.500 0.500 0.500
0.000 0.000 0.000
0.918 0.587 0.753
0.752 0.752 0.247
0.082 0.413 0.247
0.587 0.918 0.753
0.248 0.248 0.753
0.413 0.082 0.247
```

This record from the Alexandria database describes a relaxed structure of TmB2C. The functional is PBE.

Results
V: 10.4 Å³/atom
Final energy: -7.3223 eV per atom
Formation enthalpy at 0 K: -216 kJ/mol of formula units

Geometry as POSCAR:
```
TmB2C
1.0
6.758 0.000 0.000
0.000 6.758 0.000
0.000 0.000 7.286
Tm B C
8 16 8
Direct
0.309 0.809 0.750
0.191 0.309 0.250
0.809 0.691 0.250
0.691 0.191 0.750
0.691 0.191 0.250
0.809 0.691 0.750
0.191 0.309 0.750
0.309 0.809 0.250
0.153 0.034 0.000
0.534 0.653 0.500
0.847 0.966 0.000
0.347 0.534 0.000
0.653 0.466 0.000
0.034 0.847 0.500
0.966 0.153 0.500
0.466 0.347 0.500
0.097 0.594 0.000
0.406 0.097 0.500
0.594 0.903 0.500
0.597 0.906 0.000
0.403 0.094 0.000
0.903 0.406 0.000
0.094 0.597 0.500
0.906 0.403 0.500
0.178 0.040 0.500
0.678 0.460 0.500
0.322 0.540 0.500
0.960 0.178 0.000
0.040 0.822 0.000
0.540 0.678 0.000
0.822 0.960 0.500
0.460 0.322 0.000
```

This record from the Alexandria database describes a relaxed structure of LiMn9Se10. The functional is PBE.

Results
V: 19.5 Å³/atom
Uncorrected formation energy: -441 meV/atom
Final energy: -6.4048 eV per atom

Geometry as POSCAR:
```
LiMn9Se10
1.0
6.589 0.003 0.001
-2.198 7.291 -0.001
-1.083 -2.316 8.102
Li Mn Se
1 9 10
Direct
0.000 0.500 0.000
0.801 0.598 0.601
0.599 0.200 0.198
0.401 0.800 0.802
0.598 0.697 0.196
0.199 0.402 0.399
0.402 0.303 0.804
0.000 0.000 0.000
0.198 0.897 0.398
0.802 0.103 0.602
0.697 0.652 0.898
0.499 0.249 0.502
0.697 0.145 0.897
0.303 0.855 0.103
0.501 0.751 0.498
0.103 0.449 0.695
0.303 0.348 0.102
0.900 0.049 0.300
0.100 0.951 0.700
0.897 0.551 0.305
```

This record from the Alexandria database describes a relaxed structure of DyTcW. The functional is PBE.

Results
V: 19.3 Å³/atom
Final energy: -9.3565 eV per atom
Distance to the lowest polymorph of the same formula: 0 meV per atom
Formation enthalpy at 0 K: -14 kJ/mol of formula units

Geometry as POSCAR:
```
DyTcW
1.0
1.847 0.740 -5.079
-1.508 -5.002 1.567
-4.858 2.025 1.432
Dy Tc W
2 2 2
Direct
0.250 0.123 0.873
0.750 0.877 0.127
0.000 0.500 0.500
0.500 0.000 0.500
0.500 0.500 0.500
0.000 0.500 0.000
```

This record from the Alexandria database describes a relaxed structure of TaPPb3. The functional is PBE.

Results
V: 29.2 Å³/atom
Final energy: -4.3713 eV per atom
Distance to the lowest polymorph of the same formula: 329 meV per atom
Formation enthalpy at 0 K: 630 kJ/mol of formula units

Geometry as POSCAR:
```
TaPPb3
1.0
-3.228 0.641 -4.113
3.391 -2.613 -3.069
-2.413 -4.529 1.189
Pb P Ta
3 1 1
Direct
0.000 0.500 0.000
0.000 0.000 0.500
0.500 0.000 0.000
0.000 0.000 0.000
0.500 0.500 0.500
```

This record from the Alexandria database describes a relaxed structure of Cs2BaH. The functional is PBE.

Results
V: 70.4 Å³/atom
Final energy: -1.1708 eV per atom
Distance to the lowest polymorph of the same formula: 529 meV per atom

Geometry as POSCAR:
```
Cs2BaH
1.0
2.842 -4.894 -4.703
-0.433 -7.197 1.471
-4.456 -4.305 -3.969
Cs H Ba
2 1 1
Direct
0.250 0.250 0.250
0.750 0.750 0.750
0.000 0.000 0.000
0.500 0.500 0.500
```

This record from the Alexandria database describes a relaxed structure of Be3TlCu. The functional is PBE.

Results
V: 14.9 Å³/atom
Final energy: -2.8959 eV per atom
Distance to the lowest polymorph of the same formula: 0 meV per atom
Formation enthalpy at 0 K: 305 kJ/mol of formula units

Geometry as POSCAR:
```
Be3TlCu
1.0
-3.913 -1.031 -1.149
1.151 0.136 -4.043
1.028 -4.076 0.156
Be Tl Cu
3 1 1
Direct
0.000 0.500 0.000
0.000 0.000 0.500
0.500 0.000 0.000
0.500 0.500 0.500
0.000 0.000 0.000
```

This record from the Alexandria database describes a relaxed structure of NaY2AlBi. The functional is PBE.

Results
V: 38.0 Å³/atom
Final energy: -3.9442 eV per atom
Formation enthalpy at 0 K: 207 kJ/mol of formula units

Geometry as POSCAR:
```
NaY2AlBi
1.0
5.886 0.000 0.000
0.000 5.487 0.000
0.000 0.000 5.886
Y Na Bi Al
2 1 1 1
Direct
0.000 0.000 0.500
0.500 0.000 0.000
0.500 0.500 0.500
0.000 0.000 0.000
0.000 0.500 0.000
```